Density functional theory data (PBE) for a relaxed structure of Th2CuBi.

```
Th2CuBi
1.0
4.180 0.000 0.000
0.000 6.400 -0.097
0.000 -3.321 8.349
Bi Cu Th
2 2 4
direct
0.250 0.332 0.211
0.750 0.668 0.789
0.250 0.345 0.715
0.750 0.655 0.285
0.750 0.224 0.904
0.250 0.807 0.553
0.750 0.193 0.447
0.250 0.776 0.096
```

Computed properties:
Fermi-level density of states = 7.9 states/eV per cell
Crystal system = monoclinic
E_tot = -6.017 eV/atom
ΔH_f (0 K) = -0.313 eV per atom
Relative energy among the computed polymorphs = 0.00 eV per formula unit
Mass density = 11.02 g/cm³